[1]
Computed, not measured: crystalline HfTaTcW at its relaxed geometry at the PBE-GGA level of DFT.

final energy	-11.491	eV/atom
SG	No. 216

a = 4.5999 Å, b = 4.5999 Å, c = 4.5999 Å
α = 60.00°, β = 60.00°, γ = 60.00°
Closest atoms and distances in Å follow each position.
Atoms (fractional coordinates):
Hf 0.5000 0.5000 0.5000  4 W 2.82, 4 Tc 2.82
Tc 0.2500 0.2500 0.2500  4 Hf 2.82, 4 Ta 2.82
W 0.7500 0.7500 0.7500  4 Ta 2.82, 4 Hf 2.82
Ta 0.0000 0.0000 0.0000  4 Tc 2.82, 4 W 2.82

[2]
Computed, not measured: crystalline HfTaTc2W at its relaxed geometry at the PBE-GGA level of DFT.

final energy	-9.135	eV/atom
SG	No. 123

a = 4.6167 Å, b = 4.7860 Å, c = 4.6167 Å
α = 90.00°, β = 90.00°, γ = 90.00°
Closest atoms and distances in Å follow each position.
Atoms (fractional coordinates):
Hf 0.0000 0.0000 0.0000  4 Tc 2.31, 2 W 2.39
Tc 0.0000 0.0000 0.5000  2 Hf 2.31
Tc 0.5000 0.0000 0.0000  2 Hf 2.31
W 0.0000 0.5000 0.0000  2 Hf 2.39
Ta 0.5000 0.5000 0.5000  4 W 3.26, 8 Tc 3.32

[3]
Computed, not measured: crystalline HfTa2ZnTc at its relaxed geometry at the PBE-GGA level of DFT.

final energy	-7.923	eV/atom
SG	No. 123

a = 4.7044 Å, b = 4.5366 Å, c = 4.7044 Å
α = 90.00°, β = 90.00°, γ = 90.00°
Closest atoms and distances in Å follow each position.
Atoms (fractional coordinates):
Zn 0.0000 0.0000 0.0000  2 Tc 2.27, 4 Ta 2.35
Hf 0.5000 0.5000 0.5000  8 Ta 3.27, 4 Tc 3.33
Tc 0.0000 0.5000 0.0000  2 Zn 2.27
Ta 0.0000 0.0000 0.5000  2 Zn 2.35
Ta 0.5000 0.0000 0.0000  2 Zn 2.35

[4]
Computed, not measured: crystalline HfTaZnTc at its relaxed geometry at the PBE-GGA level of DFT.

final energy	-8.545	eV/atom
SG	No. 216

a = 4.5844 Å, b = 4.5844 Å, c = 4.5844 Å
α = 60.00°, β = 60.00°, γ = 60.00°
Closest atoms and distances in Å follow each position.
Atoms (fractional coordinates):
Zn 0.7500 0.7500 0.7500  4 Ta 2.81, 4 Hf 2.81
Hf 0.5000 0.5000 0.5000  4 Tc 2.81, 4 Zn 2.81
Tc 0.2500 0.2500 0.2500  4 Hf 2.81, 4 Ta 2.81
Ta 0.0000 0.0000 0.0000  4 Tc 2.81, 4 Zn 2.81

[5]
Computed, not measured: crystalline HfTaTe4 at its relaxed geometry at the PBE-GGA level of DFT.

final energy	-6.285	eV/atom
SG	No. 12
formation energy from raw total energies	-0.557	eV/atom
energy relative to the lowest polymorph listed for this composition	0	meV/atom

a = 3.8216 Å, b = 6.6187 Å, c = 14.2473 Å
α = 89.68°, β = 90.00°, γ = 90.00°
Closest atoms and distances in Å follow each position.
Atoms (fractional coordinates):
Hf 0.5000 0.5000 0.5000  6 Te 2.87
Hf 0.0000 0.0000 0.0000  6 Te 2.87
Ta 0.0000 0.0000 0.5000  6 Te 2.83
Ta 0.5000 0.5000 0.0000  6 Te 2.83
Te 0.4998 0.1626 0.3740  2 Ta 2.83, 1 Hf 2.87
Te 0.9998 0.3374 0.1260  2 Ta 2.83, 1 Hf 2.87
Te 0.5002 0.8374 0.6260  2 Ta 2.83, 1 Hf 2.87
Te 0.0002 0.6626 0.8740  2 Ta 2.83, 1 Hf 2.87
Te 0.9999 0.6735 0.3724  1 Ta 2.83, 2 Hf 2.87
Te 0.4999 0.8265 0.1276  1 Ta 2.83, 2 Hf 2.87
Te 0.0001 0.3265 0.6276  1 Ta 2.83, 2 Hf 2.87
Te 0.5001 0.1735 0.8724  1 Ta 2.83, 2 Hf 2.87

[6]
Computed, not measured: crystalline HfTaTe3 at its relaxed geometry at the PBE-GGA level of DFT.

final energy	-5.584	eV/atom
SG	No. 221
formation energy from raw total energies	0.662	eV/atom
energy relative to the lowest polymorph listed for this composition	0	meV/atom

a = 5.3614 Å, b = 5.3614 Å, c = 5.3614 Å
α = 90.00°, β = 90.00°, γ = 90.00°
Closest atoms and distances in Å follow each position.
Atoms (fractional coordinates):
Te 0.0000 0.5000 0.0000  2 Ta 2.68
Te 0.0000 0.0000 0.5000  2 Ta 2.68
Te 0.5000 0.0000 0.0000  2 Ta 2.68
Hf 0.5000 0.5000 0.5000  12 Te 3.79
Ta 0.0000 0.0000 0.0000  6 Te 2.68

[7]
Computed, not measured: crystalline HfTa3Te at its relaxed geometry at the PBE-GGA level of DFT.

final energy	-8.227	eV/atom
SG	No. 221
formation energy from raw total energies	1.503	eV/atom
energy relative to the lowest polymorph listed for this composition	0	meV/atom

a = 4.9626 Å, b = 4.9626 Å, c = 4.9626 Å
α = 90.00°, β = 90.00°, γ = 90.00°
Closest atoms and distances in Å follow each position.
Atoms (fractional coordinates):
Te 0.0000 0.0000 0.0000  6 Ta 2.48
Hf 0.5000 0.5000 0.5000  12 Ta 3.51
Ta 0.0000 0.5000 0.0000  2 Te 2.48
Ta 0.0000 0.0000 0.5000  2 Te 2.48
Ta 0.5000 0.0000 0.0000  2 Te 2.48

[8]
Computed, not measured: crystalline HfTa4Te8 at its relaxed geometry at the PBE-GGA level of DFT.

final energy	-6.541	eV/atom
SG	No. 166
formation energy from raw total energies	-0.195	eV/atom

a = 7.6117 Å, b = 7.6118 Å, c = 8.2014 Å
α = 90.00°, β = 117.65°, γ = 120.00°
Closest atoms and distances in Å follow each position.
Atoms (fractional coordinates):
Hf 0.0000 0.5000 0.5000  6 Te 2.83
Ta 0.0000 0.0000 0.0000  6 Te 2.77
Ta 0.0000 0.5000 0.0000  6 Te 2.82-2.86
Ta 0.5000 0.5000 0.0000  6 Te 2.82-2.86
Ta 0.5000 0.0000 0.0000  6 Te 2.82-2.86
Te 0.5036 0.7518 0.2554  3 Ta 2.82
Te 0.4964 0.2482 0.7446  3 Ta 2.82
Te 0.4936 0.2468 0.2578  3 Ta 2.77-2.86, 1 Hf 2.83
Te 0.9890 0.2358 0.7422  3 Ta 2.77-2.86, 1 Hf 2.83
Te 0.5064 0.7532 0.7422  3 Ta 2.77-2.86, 1 Hf 2.83
Te 0.9890 0.7532 0.7422  3 Ta 2.77-2.86, 1 Hf 2.83
Te 0.0110 0.2468 0.2578  3 Ta 2.77-2.86, 1 Hf 2.83
Te 0.0110 0.7642 0.2578  3 Ta 2.77-2.86, 1 Hf 2.83

[9]
Computed, not measured: crystalline HfTaTe4 at its relaxed geometry at the PBE-GGA level of DFT.

final energy	-6.283	eV/atom
SG	No. 10
formation energy from raw total energies	-0.554	eV/atom
energy relative to the lowest polymorph listed for this composition	3	meV/atom

a = 3.8202 Å, b = 7.6534 Å, c = 6.6174 Å
α = 106.38°, β = 90.00°, γ = 90.00°
Closest atoms and distances in Å follow each position.
Atoms (fractional coordinates):
Hf 0.0000 0.5000 0.5000  6 Te 2.87
Ta 0.5000 0.5000 0.0000  6 Te 2.83
Te 0.0000 0.2558 0.7598  2 Ta 2.83, 1 Hf 2.87
Te 0.0000 0.7442 0.2402  2 Ta 2.83, 1 Hf 2.87
Te 0.5000 0.2520 0.2473  1 Ta 2.83, 2 Hf 2.87
Te 0.5000 0.7480 0.7527  1 Ta 2.83, 2 Hf 2.87

[10]
Computed, not measured: crystalline HfTa3Te at its relaxed geometry at the PBE-GGA level of DFT.

final energy	-7.946	eV/atom
SG	No. 221
formation energy from raw total energies	1.785	eV/atom
energy relative to the lowest polymorph listed for this composition	282	meV/atom

a = 4.9788 Å, b = 4.9788 Å, c = 4.9788 Å
α = 90.00°, β = 90.00°, γ = 90.00°
Closest atoms and distances in Å follow each position.
Atoms (fractional coordinates):
Te 0.5000 0.5000 0.5000  12 Ta 3.52
Hf 0.0000 0.0000 0.0000  6 Ta 2.49
Ta 0.0000 0.5000 0.0000  2 Hf 2.49
Ta 0.0000 0.0000 0.5000  2 Hf 2.49
Ta 0.5000 0.0000 0.0000  2 Hf 2.49

[11]
Computed, not measured: crystalline HfTaTe at its relaxed geometry at the PBE-GGA level of DFT.

final energy	-8.520	eV/atom
SG	No. 12
formation energy from raw total energies	-0.204	eV/atom

a = 3.6881 Å, b = 4.8198 Å, c = 9.2792 Å
α = 93.11°, β = 101.47°, γ = 89.99°
Closest atoms and distances in Å follow each position.
Atoms (fractional coordinates):
Ta 0.0498 0.7266 0.5994  1 Ta 2.76, 2 Te 2.87, 4 Hf 2.90-2.96
Ta 0.9502 0.2734 0.4006  1 Ta 2.76, 2 Te 2.87, 4 Hf 2.90-2.96
Hf 0.4289 0.7965 0.3577  6 Ta 2.90-3.17, 2 Te 2.99-3.03, 1 Hf 3.16
Hf 0.5711 0.2035 0.6423  6 Ta 2.90-3.17, 2 Te 2.99-3.03, 1 Hf 3.16
Te 0.6706 0.7289 0.8410  2 Ta 2.87, 2 Hf 2.99-3.03
Te 0.3294 0.2711 0.1590  2 Ta 2.87, 2 Hf 2.99-3.03

[12]
Computed, not measured: crystalline HfTa2Te at its relaxed geometry at the PBE-GGA level of DFT.

final energy	-8.811	eV/atom
SG	No. 122
formation energy from raw total energies	0.389	eV/atom

a = 4.1038 Å, b = 4.1038 Å, c = 10.6306 Å
α = 78.87°, β = 78.87°, γ = 90.00°
Closest atoms and distances in Å follow each position.
Atoms (fractional coordinates):
Te 0.5000 0.5000 0.0000  4 Hf 2.90, 4 Ta 2.93
Te 0.2500 0.7500 0.5000  4 Hf 2.90, 4 Ta 2.93
Hf 0.0000 0.0000 0.0000  4 Te 2.90, 4 Ta 2.94
Hf 0.7500 0.2500 0.5000  4 Te 2.90, 4 Ta 2.94
Ta 0.6214 0.1250 0.2500  4 Ta 2.88-2.92, 2 Te 2.93, 2 Hf 2.94
Ta 0.1286 0.6250 0.2500  4 Ta 2.88-2.92, 2 Te 2.93, 2 Hf 2.94
Ta 0.3750 0.3786 0.7500  4 Ta 2.88-2.92, 2 Te 2.93, 2 Hf 2.94
Ta 0.8750 0.8714 0.7500  4 Ta 2.88-2.92, 2 Te 2.93, 2 Hf 2.94

What did the fifth record say?
Computed, not measured: crystalline HfTaTe4 at its relaxed geometry at the PBE-GGA level of DFT.

final energy	-6.285	eV/atom
SG	No. 12
formation energy from raw total energies	-0.557	eV/atom
energy relative to the lowest polymorph listed for this composition	0	meV/atom

a = 3.8216 Å, b = 6.6187 Å, c = 14.2473 Å
α = 89.68°, β = 90.00°, γ = 90.00°
Closest atoms and distances in Å follow each position.
Atoms (fractional coordinates):
Hf 0.5000 0.5000 0.5000  6 Te 2.87
Hf 0.0000 0.0000 0.0000  6 Te 2.87
Ta 0.0000 0.0000 0.5000  6 Te 2.83
Ta 0.5000 0.5000 0.0000  6 Te 2.83
Te 0.4998 0.1626 0.3740  2 Ta 2.83, 1 Hf 2.87
Te 0.9998 0.3374 0.1260  2 Ta 2.83, 1 Hf 2.87
Te 0.5002 0.8374 0.6260  2 Ta 2.83, 1 Hf 2.87
Te 0.0002 0.6626 0.8740  2 Ta 2.83, 1 Hf 2.87
Te 0.9999 0.6735 0.3724  1 Ta 2.83, 2 Hf 2.87
Te 0.4999 0.8265 0.1276  1 Ta 2.83, 2 Hf 2.87
Te 0.0001 0.3265 0.6276  1 Ta 2.83, 2 Hf 2.87
Te 0.5001 0.1735 0.8724  1 Ta 2.83, 2 Hf 2.87